# 1
# PBE-GGA PmMgAg2, optimized geometry
data_PmMgAg2
_space_group_name_H-M_alt 'F m -3 m'
_space_group_IT_number 225
_space_group_name_Hall '-F 4 2 3'
_cell_length_a 7.118
_cell_length_b 7.118
_cell_length_c 7.118
_cell_angle_alpha 90.00
_cell_angle_beta 90.00
_cell_angle_gamma 90.00
loop_
_atom_site_label
_atom_site_fract_x
_atom_site_fract_y
_atom_site_fract_z
Pm1 0.000 0.000 0.000
Mg1 0.000 0.000 0.500
Ag1 0.250 0.250 0.250
# Calculated formation energy   -283 meV per atom
# Excess energy over the best structure of this formula in the dataset   0.00 kcal/mol of atoms
# Calculated total energy   -3.295 eV per atom


# 2
# PBE-GGA Fe2Pt2Rh7, optimized geometry
data_Fe2Pt2Rh7
_space_group_name_H-M_alt 'P -1'
_space_group_IT_number 2
_cell_length_a 4.694
_cell_length_b 6.077
_cell_length_c 6.095
_cell_angle_alpha 107.53
_cell_angle_beta 105.11
_cell_angle_gamma 97.54
loop_
_space_group_symop_operation_xyz
'x,y,z'
'-x,-y,-z'
loop_
_atom_site_label
_atom_site_fract_x
_atom_site_fract_y
_atom_site_fract_z
Fe1 0.045 0.406 0.189
Pt1 0.309 0.851 0.262
Rh1 0.133 0.231 0.544
Rh2 0.227 0.043 0.909
Rh3 0.408 0.677 0.633
Rh4 0.500 0.500 0.000
# Calculated formation energy   -56 meV per atom
# Calculated total energy   -7.371 eV per atom


# 3
# PBE-GGA SrSi2Pt, optimized geometry
data_SrSi2Pt
_space_group_name_H-M_alt 'I m m 2'
_space_group_IT_number 44
_cell_length_a 4.305
_cell_length_b 6.009
_cell_length_c 7.082
_cell_angle_alpha 90.00
_cell_angle_beta 90.00
_cell_angle_gamma 90.00
loop_
_space_group_symop_operation_xyz
'x,y,z'
'-x,-y,z'
'-x,y,z'
'x,-y,z'
'x+1/2,y+1/2,z+1/2'
'-x+1/2,-y+1/2,z+1/2'
'-x+1/2,y+1/2,z+1/2'
'x+1/2,-y+1/2,z+1/2'
loop_
_atom_site_label
_atom_site_fract_x
_atom_site_fract_y
_atom_site_fract_z
Sr1 0.000 0.000 0.000
Si1 0.000 0.000 0.501
Si2 0.000 0.500 0.188
Pt1 0.000 0.500 0.850
# Calculated total energy   -4.852 eV per atom


# 4
# PBE-GGA ZrInRu2, optimized geometry
data_ZrInRu2
_space_group_name_H-M_alt 'F -4 3 m'
_space_group_IT_number 216
_space_group_name_Hall 'F -4 2 3'
_cell_length_a 6.569
_cell_length_b 6.569
_cell_length_c 6.569
_cell_angle_alpha 90.00
_cell_angle_beta 90.00
_cell_angle_gamma 90.00
loop_
_atom_site_label
_atom_site_fract_x
_atom_site_fract_y
_atom_site_fract_z
Zr1 0.000 0.000 0.000
In1 0.250 0.250 0.750
Ru1 0.000 0.000 0.500
Ru2 0.250 0.250 0.250
# Calculated formation energy   151 meV per atom
# Calculated total energy   -7.309 eV per atom


# 5
# PBE-GGA K3Pu2PtSe6, optimized geometry
data_K3Pu2PtSe6
_space_group_name_H-M_alt 'C 1 2/m 1'
_space_group_IT_number 12
_cell_length_a 7.144
_cell_length_b 12.402
_cell_length_c 8.046
_cell_angle_alpha 90.00
_cell_angle_beta 107.35
_cell_angle_gamma 90.00
loop_
_space_group_symop_operation_xyz
'x,y,z'
'-x,-y,-z'
'-x,y,-z'
'x,-y,z'
'x+1/2,y+1/2,z'
'-x+1/2,-y+1/2,-z'
'-x+1/2,y+1/2,-z'
'x+1/2,-y+1/2,z'
loop_
_atom_site_label
_atom_site_fract_x
_atom_site_fract_y
_atom_site_fract_z
K1 0.000 0.000 0.000
K2 0.000 0.330 0.000
Pu1 0.000 0.166 0.500
Pt1 0.000 0.500 0.500
Se1 0.221 0.345 0.698
Se2 0.242 0.500 0.302
# Calculated total energy   -6.006 eV per atom


# 6
# PBE-GGA Ba3PrEr3Te8, optimized geometry
data_Ba3PrEr3Te8
_space_group_name_H-M_alt 'R -3 m'
_space_group_IT_number 166
_space_group_name_Hall '-R 3 2"'
_cell_length_a 9.0019
_cell_length_b 9.0019
_cell_length_c 23.8269
_cell_angle_alpha 90.00
_cell_angle_beta 90.00
_cell_angle_gamma 120.00
loop_
_atom_site_label
_atom_site_fract_x
_atom_site_fract_y
_atom_site_fract_z
Ba1 0.0000 0.5000 0.0000
Pr1 0.0000 0.0000 0.5000
Er1 0.0000 0.5000 0.5000
Te1 0.0000 0.0000 0.2378
Te2 0.0161 0.5080 0.7599
# Calculated total energy   -4.812 eV per atom


Number 1 is which compound?
PmMgAg2